## Nd3Sm6Th (PBE)

Data for an optimized crystal structure of Nd3Sm6Th.

```
Nd3Sm6Th
1.0
-2.5403 5.0444 -2.8057
-5.5994 -6.7366 -7.0419
-4.7919 2.9913 9.7166
Sm Th Nd
12 2 6
direct
0.8819 0.9541 0.5351 Sm
0.0401 0.3784 0.2919 Sm
0.9031 0.0439 0.9561 Sm
0.1315 0.7258 0.2742 Sm
0.0401 0.7081 0.6216 Sm
0.5401 0.6216 0.7081 Sm
0.4031 0.9561 0.0439 Sm
0.8819 0.4649 0.0459 Sm
0.3819 0.0459 0.4649 Sm
0.5401 0.2919 0.3784 Sm
0.6315 0.2742 0.7258 Sm
0.3819 0.5351 0.9541 Sm
0.1176 0.2026 0.7974 Th
0.6176 0.7974 0.2026 Th
0.9597 0.7142 0.9402 Nd
0.4597 0.9402 0.7142 Nd
0.5698 0.6151 0.3849 Nd
0.9597 0.0598 0.2858 Nd
0.0698 0.3849 0.6151 Nd
0.4597 0.2858 0.0598 Nd
```

Results
E in eV for the cell shown: -96.9
Total magnetic moment in μB per cell: 0.00
Space group: Cmc2_1, No. 36